No. 1
# Ga2Fe2Au, relaxed, DFT PBE
# space-group type = No. 127
# DFT total energy = -52.06 eV per cell
# DOS at the Fermi energy = 14.7 states/eV/cell
data_Ga2Fe2Au
_chemical_formula_sum 'Ga4 Fe4 Au2'
_cell_length_a 7.0601
_cell_length_b 7.0601
_cell_length_c 2.8806
_cell_angle_alpha 90.00
_cell_angle_beta 90.00
_cell_angle_gamma 90.00
_space_group_name_H-M_alt 'P 1'
_space_group_IT_number 1
loop_
_space_group_symop_operation_xyz
'x,y,z'
loop_
_atom_site_label
_atom_site_fract_x
_atom_site_fract_y
_atom_site_fract_z
Ga1 0.1400 0.3600 0.0000
Ga2 0.3600 0.8600 0.0000
Ga3 0.6400 0.1400 0.0000
Ga4 0.8600 0.6400 0.0000
Fe1 0.1552 0.6552 0.5000
Fe2 0.3448 0.1552 0.5000
Fe3 0.6552 0.8448 0.5000
Fe4 0.8448 0.3448 0.5000
Au1 0.0000 0.0000 0.0000
Au2 0.5000 0.5000 0.0000



No. 2
# RbPuN2, relaxed, DFT PBE
# space-group type = No. 160
# DFT total energy = -34.58 eV per cell
# ΔE_f (raw) = -0.657 eV per atom
# DOS at the Fermi energy = 6.1 states/eV/cell
data_RbPuN2
_chemical_formula_sum 'Rb1 Pu1 N2'
_cell_length_a 7.0114
_cell_length_b 7.0114
_cell_length_c 7.0114
_cell_angle_alpha 29.10
_cell_angle_beta 29.10
_cell_angle_gamma 29.10
_space_group_name_H-M_alt 'P 1'
_space_group_IT_number 1
loop_
_space_group_symop_operation_xyz
'x,y,z'
loop_
_atom_site_label
_atom_site_fract_x
_atom_site_fract_y
_atom_site_fract_z
Rb1 0.0000 0.0000 0.0000
Pu1 0.1695 0.1695 0.1695
N1 0.5532 0.5532 0.5532
N2 0.7874 0.7874 0.7874



No. 3
# CaOsS2Cl, relaxed, DFT PBE
# space-group type = No. 123
# DFT total energy = -25.52 eV per cell
# ΔE_f (raw) = -0.437 eV per atom
# DOS at the Fermi energy = 4.9 states/eV/cell
data_CaOsS2Cl
_chemical_formula_sum 'Ca1 Os1 S2 Cl1'
_cell_length_a 4.6522
_cell_length_b 4.6522
_cell_length_c 4.9344
_cell_angle_alpha 90.00
_cell_angle_beta 90.00
_cell_angle_gamma 90.00
_space_group_name_H-M_alt 'P 1'
_space_group_IT_number 1
loop_
_space_group_symop_operation_xyz
'x,y,z'
loop_
_atom_site_label
_atom_site_fract_x
_atom_site_fract_y
_atom_site_fract_z
Ca1 0.0000 0.0000 0.0000
Os1 0.5000 0.5000 0.5000
S1 0.0000 0.5000 0.5000
S2 0.5000 0.0000 0.5000
Cl1 0.5000 0.5000 0.0000



No. 4
# ScSi3Sb, relaxed, DFT PBE
# space-group type = No. 221
# DFT total energy = -22.25 eV per cell
# ΔE_f (raw) = 0.894 eV per atom
# DOS at the Fermi energy = 4.6 states/eV/cell
data_ScSi3Sb
_chemical_formula_sum 'Sc1 Si3 Sb1'
_cell_length_a 5.0255
_cell_length_b 5.0255
_cell_length_c 5.0255
_cell_angle_alpha 90.00
_cell_angle_beta 90.00
_cell_angle_gamma 90.00
_space_group_name_H-M_alt 'P 1'
_space_group_IT_number 1
loop_
_space_group_symop_operation_xyz
'x,y,z'
loop_
_atom_site_label
_atom_site_fract_x
_atom_site_fract_y
_atom_site_fract_z
Sc1 0.0000 0.0000 0.0000
Si1 0.0000 0.0000 0.5000
Si2 0.0000 0.5000 0.0000
Si3 0.5000 0.0000 0.0000
Sb1 0.5000 0.5000 0.5000